A plane-wave DFT calculation with GGA-PBE was carried out for a relaxed structure of TlCuAgCl4.

Summary:
E_tot (eV/atom): -2.9770
Symmetry: No. 11
Uncorrected formation energy (eV per atom): -0.59

Cell lengths 6.0734, 7.4558, 8.7453 Å; angles 90.00, 104.55, 90.00 degrees
With the nearest neighbours (Å) after each atom.
Positions (direct):
1 Tl 0.7523 0.7500 0.9434  7 Cl 3.19-3.54
2 Tl 0.2477 0.2500 0.0566  7 Cl 3.19-3.54
3 Cu 0.2253 0.7500 0.3207  4 Cl 2.23-2.34
4 Cu 0.7747 0.2500 0.6793  4 Cl 2.23-2.34
5 Ag 0.8879 0.7500 0.5015  5 Cl 2.57-2.72
6 Ag 0.1121 0.2500 0.4985  5 Cl 2.57-2.72
7 Cl 0.0355 0.4873 0.7152  1 Cu 2.34
8 Cl 0.9645 0.9873 0.2848  1 Cu 2.34
9 Cl 0.9645 0.5127 0.2848  1 Cu 2.34
10 Cl 0.0355 0.0127 0.7152  1 Cu 2.34
11 Cl 0.3180 0.7500 0.0866  1 Cu 2.26
12 Cl 0.6820 0.2500 0.9134  1 Cu 2.26
13 Cl 0.4883 0.7500 0.5502  1 Cu 2.23
14 Cl 0.5117 0.2500 0.4498  1 Cu 2.23



A plane-wave DFT calculation with GGA-PBE was carried out for a relaxed structure of Tl4Cu3AgCl12.

Summary:
E_tot (eV/atom): -3.0220
Symmetry: No. 229
Uncorrected formation energy (eV per atom): -0.68

Cell lengths 8.5591, 8.5591, 8.5591 Å; angles 109.47, 109.47, 109.47 degrees
With the nearest neighbours (Å) after each atom.
Positions (direct):
1 Tl 0.5000 0.5000 0.5000  12 Cl 3.49-3.50
2 Tl 0.0000 0.0000 0.5000  12 Cl 3.49-3.50
3 Tl 0.5000 0.0000 0.0000  12 Cl 3.49-3.50
4 Tl 0.0000 0.5000 0.0000  12 Cl 3.49-3.50
5 Cu 0.5000 0.0000 0.5000  6 Cl 2.33-2.47
6 Cu 0.5000 0.5000 0.0000  6 Cl 2.33-2.47
7 Cu 0.0000 0.5000 0.5000  6 Cl 2.33-2.47
8 Ag 0.0000 0.0000 0.0000  6 Cl 2.61
9 Cl 0.2500 0.5000 0.7500  2 Cu 2.47
10 Cl 0.7359 0.0000 0.7359  1 Cu 2.33, 1 Ag 2.61
11 Cl 0.2641 0.0000 0.2641  1 Cu 2.33, 1 Ag 2.61
12 Cl 0.7500 0.5000 0.2500  2 Cu 2.47
13 Cl 0.7359 0.7359 0.0000  1 Cu 2.33, 1 Ag 2.61
14 Cl 0.2641 0.2641 0.0000  1 Cu 2.33, 1 Ag 2.61
15 Cl 0.7500 0.2500 0.5000  2 Cu 2.47
16 Cl 0.2500 0.7500 0.5000  2 Cu 2.47
17 Cl 0.5000 0.2500 0.7500  2 Cu 2.47
18 Cl 0.0000 0.7359 0.7359  1 Cu 2.33, 1 Ag 2.61
19 Cl 0.5000 0.7500 0.2500  2 Cu 2.47
20 Cl 0.0000 0.2641 0.2641  1 Cu 2.33, 1 Ag 2.61



A plane-wave DFT calculation with GGA-PBE was carried out for a relaxed structure of UCuAg2Cl8.

Summary:
E_tot (eV/atom): -3.9896
Symmetry: No. 10
Uncorrected formation energy (eV per atom): -1.00

Cell lengths 6.4205, 6.2353, 8.1722 Å; angles 90.01, 90.00, 97.87 degrees
With the nearest neighbours (Å) after each atom.
Positions (direct):
1 U 0.0000 0.0000 0.5000  6 Cl 2.55-2.57
2 Cu 0.0000 0.0000 0.0000  2 Cl 2.25
3 Ag 0.5001 0.4999 0.7766  4 Cl 2.65-2.79
4 Ag 0.4999 0.5001 0.2234  4 Cl 2.65-2.79
5 Cl 0.1596 0.7887 0.2766  1 U 2.55
6 Cl 0.7132 0.7482 0.0000  1 Cu 2.25
7 Cl 0.8404 0.2112 0.2767  1 U 2.55
8 Cl 0.8404 0.2113 0.7234  1 U 2.55
9 Cl 0.2868 0.2518 0.0000  1 Cu 2.25
10 Cl 0.1596 0.7888 0.7233  1 U 2.55
11 Cl 0.6648 0.7230 0.5000  1 U 2.57, 2 Ag 2.79
12 Cl 0.3352 0.2770 0.5000  1 U 2.57, 2 Ag 2.79



A plane-wave DFT calculation with GGA-PBE was carried out for a relaxed structure of ZnCu2AgCl6.

Summary:
E_tot (eV/atom): -2.9898
Symmetry: No. 15
Uncorrected formation energy (eV per atom): -0.65

Cell lengths 6.3738, 9.6733, 9.6733 Å; angles 92.44, 73.57, 73.57 degrees
With the nearest neighbours (Å) after each atom.
Positions (direct):
1 Zn 0.2500 0.2005 0.7995  4 Cl 2.28-2.33
2 Zn 0.7500 0.7995 0.2005  4 Cl 2.28-2.33
3 Cu 0.3475 0.6989 0.5492  3 Cl 2.19-2.28
4 Cu 0.1525 0.4508 0.3011  3 Cl 2.19-2.28
5 Cu 0.6525 0.3011 0.4508  3 Cl 2.19-2.28
6 Cu 0.8475 0.5492 0.6989  3 Cl 2.19-2.28
7 Ag 0.2500 0.9303 0.0697  2 Cl 2.47
8 Ag 0.7500 0.0697 0.9303  2 Cl 2.47
9 Cl 0.1622 0.9835 0.7889  1 Zn 2.33, 1 Ag 2.47
10 Cl 0.3378 0.2111 0.0165  1 Zn 2.33, 1 Ag 2.47
11 Cl 0.8378 0.0165 0.2111  1 Zn 2.33, 1 Ag 2.47
12 Cl 0.6622 0.7889 0.9835  1 Zn 2.33, 1 Ag 2.47
13 Cl 0.4145 0.8489 0.3869  1 Cu 2.22, 1 Zn 2.28
14 Cl 0.0855 0.6131 0.1511  1 Cu 2.22, 1 Zn 2.28
15 Cl 0.5855 0.1511 0.6131  1 Cu 2.22, 1 Zn 2.28
16 Cl 0.9145 0.3869 0.8489  1 Cu 2.22, 1 Zn 2.28
17 Cl 0.9833 0.7005 0.5662  2 Cu 2.19-2.28
18 Cl 0.5167 0.4338 0.2995  2 Cu 2.19-2.28
19 Cl 0.0167 0.2995 0.4338  2 Cu 2.19-2.28
20 Cl 0.4833 0.5662 0.7005  2 Cu 2.19-2.28



A plane-wave DFT calculation with GGA-PBE was carried out for a relaxed structure of ZrCu2AgCl8.

Summary:
E_tot (eV/atom): -3.8731
Symmetry: No. 2
Uncorrected formation energy (eV per atom): -1.01

Cell lengths 6.3854, 6.9367, 8.1273 Å; angles 68.93, 93.62, 104.60 degrees
With the nearest neighbours (Å) after each atom.
Positions (direct):
1 Zr 0.0000 0.0000 0.0000  6 Cl 2.49-2.51
2 Cu 0.5365 0.3566 0.6811  4 Cl 2.26-2.40
3 Cu 0.4635 0.6434 0.3189  4 Cl 2.26-2.40
4 Ag 0.0000 0.0000 0.5000  4 Cl 2.58-2.71
5 Cl 0.1274 0.7486 0.2724  1 Cu 2.40, 1 Zr 2.51
6 Cl 0.6306 0.7507 0.0489  1 Cu 2.29, 1 Zr 2.51
7 Cl 0.8975 0.1870 0.1807  1 Zr 2.49, 1 Ag 2.58
8 Cl 0.8726 0.2514 0.7276  1 Cu 2.40, 1 Zr 2.51
9 Cl 0.3694 0.2493 0.9511  1 Cu 2.29, 1 Zr 2.51
10 Cl 0.1025 0.8130 0.8193  1 Zr 2.49, 1 Ag 2.58
11 Cl 0.6051 0.7218 0.5558  2 Cu 2.26-2.30
12 Cl 0.3949 0.2782 0.4442  2 Cu 2.26-2.30



A plane-wave DFT calculation with GGA-PBE was carried out for a relaxed structure of DyAg5Cl8.

Summary:
E_tot (eV/atom): -3.3193
Symmetry: No. 82
Uncorrected formation energy (eV per atom): -0.92

Cell lengths 7.5582, 7.5583, 7.5583 Å; angles 107.37, 107.37, 113.77 degrees
With the nearest neighbours (Å) after each atom.
Positions (direct):
1 Dy 0.2500 0.7500 0.5000  4 Cl 2.66
2 Ag 0.9160 0.3215 0.9006  4 Cl 2.58-2.89
3 Ag 0.6785 0.5791 0.5944  4 Cl 2.58-2.89
4 Ag 0.4209 0.0154 0.0994  4 Cl 2.58-2.89
5 Ag 0.5000 0.5000 0.0000  4 Cl 2.72
6 Ag 0.9846 0.0840 0.4056  4 Cl 2.58-2.89
7 Cl 0.0669 0.8202 0.1906  2 Ag 2.58-2.89, 1 Dy 2.66
8 Cl 0.1798 0.3704 0.2467  2 Ag 2.58-2.89, 1 Dy 2.66
9 Cl 0.5669 0.8510 0.3160  3 Ag 2.59-2.72
10 Cl 0.1490 0.4651 0.7160  3 Ag 2.59-2.72
11 Cl 0.7491 0.4331 0.2840  3 Ag 2.59-2.72
12 Cl 0.1237 0.9331 0.7533  2 Ag 2.58-2.89, 1 Dy 2.66
13 Cl 0.6296 0.8763 0.8094  2 Ag 2.58-2.89, 1 Dy 2.66
14 Cl 0.5349 0.2509 0.6840  3 Ag 2.59-2.72



A plane-wave DFT calculation with GGA-PBE was carried out for a relaxed structure of DyAg3Cl6.

Summary:
E_tot (eV/atom): -3.5751
Symmetry: No. 14
Uncorrected formation energy (eV per atom): -1.15

Cell lengths 6.9392, 6.8963, 10.6024 Å; angles 90.00, 91.56, 90.00 degrees
With the nearest neighbours (Å) after each atom.
Positions (direct):
1 Dy 0.5000 0.5000 0.5000  6 Cl 2.64-2.69
2 Dy 0.0000 0.0000 0.0000  6 Cl 2.64-2.69
3 Ag 0.4929 0.9621 0.7588  4 Cl 2.63-2.76
4 Ag 0.5000 0.5000 0.0000  4 Cl 2.62-2.85
5 Ag 0.5071 0.0379 0.2412  4 Cl 2.63-2.76
6 Ag 0.9929 0.5379 0.2588  4 Cl 2.63-2.76
7 Ag 0.0000 0.0000 0.5000  4 Cl 2.62-2.85
8 Ag 0.0071 0.4621 0.7412  4 Cl 2.63-2.76
9 Cl 0.6674 0.1732 0.9423  2 Ag 2.62-2.69, 1 Dy 2.66
10 Cl 0.6583 0.1775 0.5876  2 Ag 2.63-2.85, 1 Dy 2.64
11 Cl 0.6209 0.3990 0.2706  2 Ag 2.63-2.76, 1 Dy 2.69
12 Cl 0.3791 0.6010 0.7294  2 Ag 2.63-2.76, 1 Dy 2.69
13 Cl 0.3417 0.8225 0.4124  2 Ag 2.63-2.85, 1 Dy 2.64
14 Cl 0.3326 0.8268 0.0577  2 Ag 2.62-2.69, 1 Dy 2.66
15 Cl 0.1674 0.3268 0.4423  2 Ag 2.62-2.69, 1 Dy 2.66
16 Cl 0.1583 0.3225 0.0876  2 Ag 2.63-2.85, 1 Dy 2.64
17 Cl 0.1209 0.1010 0.7706  2 Ag 2.63-2.76, 1 Dy 2.69
18 Cl 0.8791 0.8990 0.2294  2 Ag 2.63-2.76, 1 Dy 2.69
19 Cl 0.8417 0.6775 0.9124  2 Ag 2.63-2.85, 1 Dy 2.64
20 Cl 0.8326 0.6732 0.5577  2 Ag 2.62-2.69, 1 Dy 2.66



A plane-wave DFT calculation with GGA-PBE was carried out for a relaxed structure of DyAgCl.

Summary:
E_tot (eV/atom): -3.8562
Symmetry: No. 38
Uncorrected formation energy (eV per atom): -0.76

Cell lengths 3.5889, 3.5894, 14.6512 Å; angles 90.00, 90.00, 119.99 degrees
With the nearest neighbours (Å) after each atom.
Positions (direct):
1 Ag 0.3382 0.6764 0.0000  2 Cl 3.29, 6 Ag 3.59
2 Ag 0.3324 0.6648 0.5000  6 Dy 3.02
3 Dy 0.6656 0.3313 0.3503  3 Cl 2.78, 3 Ag 3.02
4 Dy 0.6656 0.3313 0.6497  3 Cl 2.78, 3 Ag 3.02
5 Cl 0.3324 0.6647 0.7757  3 Dy 2.78
6 Cl 0.3324 0.6647 0.2243  3 Dy 2.78



A plane-wave DFT calculation with GGA-PBE was carried out for a relaxed structure of Dy2Ag5Cl12.

Summary:
E_tot (eV/atom): -3.5728
Symmetry: No. 12
Uncorrected formation energy (eV per atom): -1.17

Cell lengths 7.6222, 7.9793, 9.9965 Å; angles 103.19, 90.00, 118.53 degrees
With the nearest neighbours (Å) after each atom.
Positions (direct):
1 Dy 0.7508 0.0000 0.0000  6 Cl 2.63-2.66
2 Dy 0.2492 0.0000 0.0000  6 Cl 2.63-2.66
3 Ag 0.2869 0.5739 0.6172  6 Cl 2.81-2.85, 1 Ag 3.02
4 Ag 0.2812 0.5623 0.3132  4 Cl 2.64-2.65
5 Ag 0.0000 0.0000 0.5000  4 Cl 2.55
6 Ag 0.7188 0.4377 0.6868  4 Cl 2.64-2.65
7 Ag 0.7131 0.4261 0.3828  6 Cl 2.81-2.85, 1 Ag 3.02
8 Cl 0.9473 0.8946 0.1503  2 Dy 2.64
9 Cl 0.0769 0.6400 0.8352  1 Dy 2.63, 2 Ag 2.64-2.81
10 Cl 0.5631 0.6400 0.8352  1 Dy 2.63, 2 Ag 2.64-2.81
11 Cl 0.1126 0.7415 0.4761  4 Ag 2.55-2.85
12 Cl 0.6289 0.7415 0.4761  4 Ag 2.55-2.85
13 Cl 0.5512 0.1025 0.8471  2 Dy 2.66
14 Cl 0.4488 0.8975 0.1529  2 Dy 2.66
15 Cl 0.8874 0.2585 0.5239  4 Ag 2.55-2.85
16 Cl 0.3711 0.2585 0.5239  4 Ag 2.55-2.85
17 Cl 0.9231 0.3600 0.1648  1 Dy 2.63, 2 Ag 2.64-2.81
18 Cl 0.4369 0.3600 0.1648  1 Dy 2.63, 2 Ag 2.64-2.81
19 Cl 0.0527 0.1054 0.8497  2 Dy 2.64